A plane-wave DFT calculation with PBE was carried out for a relaxed structure of Pu3Co2Sb4.

a b c (Å): 4.4513 6.0543 8.6262
angles (deg): 104.78 90.00 111.57
Sites, in units of the cell vectors:
Co1 0.2993 0.5986 0.5920
Pu1 0.3751 0.7502 0.3080
Co2 0.7007 0.4014 0.4080
Sb1 0.7029 0.4058 0.1043
Sb2 0.2971 0.5942 0.8957
Sb3 0.9105 0.8210 0.6147
Pu2 0.6249 0.2498 0.6920
Sb4 0.0895 0.1790 0.3853
Pu3 0.0000 0.0000 0.0000

Uncorrected energy   -77.34 eV/cell
Offset from the most stable computed form   0.000 eV per atom
Calculated density   10.68 Mg/m³
ΔE_f (raw)   -0.41 eV/atom
N(E_F)   35.21 states/eV per cell
Volume   207.9 Å³/cell
SG   C2/m (12)
Magnetic moment   14.939 μB per cell

A plane-wave DFT calculation with PBE was carried out for a relaxed structure of PuCoSb.

a b c (Å): 4.0743 4.2921 4.2921
angles (deg): 120.00 90.00 90.00
Sites, in units of the cell vectors:
Co1 0.0831 0.0000 0.0000
Sb1 0.2103 0.3333 0.6667
Pu1 0.7066 0.6667 0.3333

Uncorrected energy   -26.52 eV/cell
Calculated density   10.85 Mg/m³
ΔE_f (raw)   -0.32 eV/atom
N(E_F)   9.30 states/eV per cell
Volume   65.0 Å³/cell
SG   P3m1 (156)
Magnetic moment   4.147 μB per cell

A plane-wave DFT calculation with PBE was carried out for a relaxed structure of PuCo2Sb2.

a b c (Å): 4.1371 9.2650 10.4925
angles (deg): 90.00 90.00 90.00
Sites, in units of the cell vectors:
Co1 0.2500 0.5766 0.9596
Sb1 0.7500 0.0368 0.6761
Co2 0.7500 0.9234 0.4596
Co3 0.7500 0.9856 0.9097
Sb2 0.2500 0.8387 0.9140
Sb3 0.7500 0.6613 0.4140
Pu1 0.7500 0.7566 0.1326
Co4 0.2500 0.0766 0.5404
Co5 0.2500 0.5144 0.4097
Co6 0.7500 0.4234 0.0404
Pu2 0.2500 0.2434 0.8674
Sb4 0.7500 0.1613 0.0860
Co7 0.2500 0.0144 0.0903
Sb5 0.2500 0.3387 0.5860
Sb6 0.2500 0.4632 0.1761
Co8 0.7500 0.4856 0.5903
Sb7 0.2500 0.9632 0.3239
Pu3 0.7500 0.2566 0.3674
Sb8 0.7500 0.5368 0.8239
Pu4 0.2500 0.7434 0.6326

Uncorrected energy   -152.20 eV/cell
Calculated density   10.00 Mg/m³
ΔE_f (raw)   -0.25 eV/atom
N(E_F)   56.89 states/eV per cell
Volume   402.2 Å³/cell
SG   Pnma (62)
Magnetic moment   21.495 μB per cell